No. 1
# Mg5In6Ag

A relaxed structure of Mg5In6Ag (PBE, Alexandria).

Properties
Size of the total moment (μB per formula unit): 0.0
E_tot (eV per atom): -2.341
Density (g/cm3): 5.53
Calculated formation energy (eV/atom): -0.069

extended XYZ file:
```
12
Lattice="4.9494 -6.8491 0.0000 4.9494 6.8491 0.0000 -2.1086 0.0000 4.0641" Properties=species:S:1:pos:R:3 pbc="T T T"
Mg 0.0000 0.0000 0.0000
Mg 3.8952 4.5295 2.0321
Mg 4.9494 2.1508 0.0000
Mg 4.9494 -2.1508 0.0000
Mg 3.8952 -4.5295 2.0321
In 1.9493 2.2674 1.0157
In 0.8638 0.0000 3.0297
In 1.9493 -2.2674 1.0157
In 5.8411 2.2674 3.0484
In 6.9265 0.0000 1.0345
In 5.8411 -2.2674 3.0484
Ag 3.8952 0.0000 2.0321
```

---

No. 2
# Tb6TlAu5

A relaxed structure of Tb6TlAu5 (PBE, Alexandria).

Properties
Size of the total moment (μB per formula unit): 0.0
E_tot (eV per atom): -4.633
Density (g/cm3): 12.22
Calculated formation energy (eV/atom): -0.755

extended XYZ file:
```
12
Lattice="-2.5730 3.6625 7.7236 2.5730 -3.6625 7.7236 2.5730 3.6625 -7.7236" Properties=species:S:1:pos:R:3 pbc="T T T"
Tb 2.5730 1.7900 -2.6428
Tb 0.0000 1.7397 0.0000
Tb 2.5730 1.7900 2.6428
Tb 0.0000 1.8725 5.0809
Tb 0.0000 5.5854 0.0000
Tb 0.0000 1.8725 10.3664
Tl 0.0000 0.0000 7.7236
Au 2.5730 0.0000 0.0000
Au 0.0000 0.0000 2.5755
Au 2.5730 0.0000 5.2648
Au 0.0000 3.6625 2.4588
Au 0.0000 0.0000 12.8717
```

---

No. 3
# Cr3MoAu

A relaxed structure of Cr3MoAu (PBE, Alexandria).

Properties
Size of the total moment (μB per formula unit): 0.0
E_tot (eV per atom): -6.204
Energy above the lowest structure with this stoichiometry (eV/atom): 1.0310
Density (g/cm3): 7.96
Calculated formation energy (eV/atom): 2.391

extended XYZ file:
```
5
Lattice="4.5416 0.0000 0.0000 0.0000 4.5416 0.0000 0.0000 0.0000 4.5416" Properties=species:S:1:pos:R:3 pbc="T T T"
Cr 0.0000 0.0000 2.2708
Cr 0.0000 2.2708 0.0000
Cr 2.2708 0.0000 0.0000
Mo 2.2708 2.2708 2.2708
Au 0.0000 0.0000 0.0000
```

---

No. 4
# PrSm4Dy2

A relaxed structure of PrSm4Dy2 (PBE, Alexandria).

Properties
Size of the total moment (μB per formula unit): 0.0
E_tot (eV per atom): -4.574
Energy above the lowest structure with this stoichiometry (eV/atom): 0.0341
Density (g/cm3): 7.58
Calculated formation energy (eV/atom): 0.120

extended XYZ file:
```
14
Lattice="6.1794 0.0000 0.0000 0.0000 6.6559 0.0000 -2.8819 0.0000 11.3629" Properties=species:S:1:pos:R:3 pbc="T T T"
Pr -0.8826 1.6640 4.0110
Pr 4.1801 4.9919 7.3519
Sm -0.9502 1.6640 7.4439
Sm -0.8944 4.9919 10.6177
Sm 1.5940 3.3631 2.4104
Sm 1.5940 6.6207 2.4104
Sm 1.7035 0.0352 8.9525
Sm 1.7035 3.2927 8.9525
Sm 4.1919 1.6640 0.7452
Sm 4.2477 4.9919 3.9190
Dy -1.8028 1.6640 10.7152
Dy 1.0304 4.9919 5.6949
Dy 2.2671 1.6640 5.6681
Dy 5.1003 4.9919 0.6477
```

---

No. 5
# Ac8TePb5

A relaxed structure of Ac8TePb5 (PBE, Alexandria).

Properties
Size of the total moment (μB per formula unit): 0.0
E_tot (eV per atom): -4.555
ΔE_f (raw) (eV/atom): -0.659
Density (g/cm3): 9.17

extended XYZ file:
```
14
Lattice="-5.1280 5.1280 5.1300 5.1280 -5.1280 5.1300 5.1280 5.1280 -5.1300" Properties=species:S:1:pos:R:3 pbc="T T T"
Ac 4.4125 1.8672 -0.6065
Ac 1.8562 -0.7375 2.0037
Ac 3.2718 5.8655 -3.1263
Ac 3.2608 -0.7155 5.7365
Ac 4.3905 3.2718 3.1263
Ac 1.8672 5.8435 0.6065
Ac 0.7155 3.2608 4.5236
Ac 0.7375 1.8562 8.2564
Te 5.1280 0.0000 2.5650
Pb 7.7107 1.2949 -1.2660
Pb 1.2949 2.5454 1.2660
Pb 0.0000 0.0000 5.1300
Pb -2.5827 3.8331 3.8640
Pb 3.8331 2.5827 6.3960
```

---

No. 6
# CaMg2

A relaxed structure of CaMg2 (PBE, Alexandria).

Properties
Size of the total moment (μB per formula unit): 0.0
E_tot (eV per atom): -1.763
Density (g/cm3): 1.67
Calculated formation energy (eV/atom): -0.032

extended XYZ file:
```
9
Lattice="8.0305 0.0000 0.0000 -4.0153 6.9546 0.0000 0.0000 0.0000 4.7441" Properties=species:S:1:pos:R:3 pbc="T T T"
Ca -2.3234 4.0242 0.0000
Ca 1.6919 2.9304 0.0000
Ca 4.6468 0.0000 0.0000
Mg 0.0000 0.0000 0.0000
Mg -0.9592 1.6614 2.3720
Mg 1.9185 0.0000 2.3720
Mg 0.0000 4.6364 2.3720
Mg 4.0153 2.3182 2.3720
Mg 3.0560 5.2932 2.3720
```

---

No. 7
# Pm3IrO2

A relaxed structure of Pm3IrO2 (PBE, Alexandria).

Properties
Size of the total moment (μB per formula unit): 0.0
E_tot (eV per atom): -7.551
ΔE_f (raw) (eV/atom): -2.046
Density (g/cm3): 9.24

extended XYZ file:
```
12
Lattice="5.0337 0.0000 0.0000 0.0000 12.3063 0.0000 0.0000 0.0000 3.8243" Properties=species:S:1:pos:R:3 pbc="T T T"
Pm 1.2584 0.7621 0.9552
Pm 1.2584 5.3911 0.9552
Pm 1.2584 9.2297 2.8619
Pm 3.7753 3.0766 0.9624
Pm 3.7753 6.9152 2.8691
Pm 3.7753 11.5442 2.8691
Ir 1.2584 3.0766 2.8712
Ir 3.7753 9.2297 0.9531
O 1.2584 6.7823 2.8673
O 1.2584 11.6771 2.8673
O 3.7753 0.6292 0.9571
O 3.7753 5.5240 0.9571
```

---

No. 8
# Tb2Al3CuAu4

A relaxed structure of Tb2Al3CuAu4 (PBE, Alexandria).

Properties
Size of the total moment (μB per formula unit): 0.0
E_tot (eV per atom): -4.377
Density (g/cm3): 10.49
Calculated formation energy (eV/atom): -0.608

extended XYZ file:
```
10
Lattice="4.3111 0.0000 0.0000 0.0000 4.3111 0.0000 0.0000 0.0000 10.6507" Properties=species:S:1:pos:R:3 pbc="T T T"
Tb 0.0000 2.1556 2.6087
Tb 2.1556 0.0000 8.0420
Al 0.0000 0.0000 0.0000
Al 0.0000 2.1556 6.7264
Al 2.1556 0.0000 3.9243
Cu 2.1556 2.1556 0.0000
Au 0.0000 0.0000 5.3253
Au 0.0000 2.1556 9.1901
Au 2.1556 0.0000 1.4606
Au 2.1556 2.1556 5.3253
```

---

No. 9
# Be2FeAg

A relaxed structure of Be2FeAg (PBE, Alexandria).

Properties
Size of the total moment (μB per formula unit): 1.8
E_tot (eV per atom): -4.558
Energy above the lowest structure with this stoichiometry (eV/atom): 0.1332
Density (g/cm3): 6.75
Calculated formation energy (eV/atom): 0.134

extended XYZ file:
```
4
Lattice="3.7112 0.0000 0.0000 0.0000 1.3476 4.4717 0.0000 -1.3476 4.4717" Properties=species:S:1:pos:R:3 pbc="T T T"
Be 0.0000 0.0000 0.0000
Be 1.8556 0.0000 1.2739
Fe 0.0000 0.0000 6.3886
Ag 1.8556 0.0000 3.6330
```

---

No. 10
# K2GaBr6

A relaxed structure of K2GaBr6 (PBE, Alexandria).

Properties
Size of the total moment (μB per formula unit): 0.0
E_tot (eV per atom): -2.747
ΔE_f (raw) (eV/atom): -1.052
Density (g/cm3): 3.50

extended XYZ file:
```
9
Lattice="6.8075 -3.2528 0.0000 6.8075 3.2528 0.0000 -4.3304 0.0000 6.7147" Properties=species:S:1:pos:R:3 pbc="T T T"
K 2.0960 0.0000 1.5265
K 7.1886 0.0000 5.1881
Ga -2.1652 0.0000 3.3573
Br 0.1894 0.0000 4.3047
Br 5.3686 1.5842 1.5187
Br 3.9160 1.5842 5.1959
Br 5.3686 -1.5842 1.5187
Br 3.9160 -1.5842 5.1959
Br 9.0951 0.0000 2.4099
```

---

No. 11
# Pm2SmHoP4

A relaxed structure of Pm2SmHoP4 (PBE, Alexandria).

Properties
Size of the total moment (μB per formula unit): 0.0
E_tot (eV per atom): -6.628
Density (g/cm3): 6.26
Calculated formation energy (eV/atom): -1.573

extended XYZ file:
```
8
Lattice="7.0825 0.0000 0.0000 0.0000 4.0925 0.0000 -2.3599 0.0000 6.6784" Properties=species:S:1:pos:R:3 pbc="T T T"
Pm 0.0000 0.0000 0.0000
Pm -1.1800 2.0462 3.3392
Sm 2.3613 0.0000 3.3392
Ho 3.5413 2.0462 0.0000
P 1.2125 2.0462 1.6567
P 0.0329 0.0000 5.0446
P 4.6897 0.0000 1.6338
P 3.5101 2.0462 5.0217
```

---

No. 12
# Tb8In2Pd

A relaxed structure of Tb8In2Pd (PBE, Alexandria).

Properties
Size of the total moment (μB per formula unit): 0.0
E_tot (eV per atom): -4.644
Density (g/cm3): 8.40
Calculated formation energy (eV/atom): -0.306

extended XYZ file:
```
11
Lattice="9.3975 -2.5548 0.0000 9.3975 2.5548 0.0000 -1.3752 0.0000 6.6164" Properties=species:S:1:pos:R:3 pbc="T T T"
Tb -0.0459 0.0000 1.7972
Tb 2.8119 0.0000 5.3481
Tb 5.9131 0.0000 3.4158
Tb 7.6284 0.0000 0.2372
Tb 9.7913 0.0000 6.3792
Tb 11.5066 0.0000 3.2006
Tb 14.6078 0.0000 1.2683
Tb 17.4656 0.0000 4.8192
In 3.1626 0.0000 1.6981
In 14.2571 0.0000 4.9183
Pd 8.7098 0.0000 3.3082
```